Record 1
Material: TeRuO6
Method: DFT, PBE-GGA
State: relaxed

The structure in POSCAR format:
```
TeRuO6
1.0
2.491 1.438 4.406
-2.491 1.438 4.406
0.000 -2.876 4.406
Te Ru O
1 1 6
Direct
0.000 0.000 0.000
0.500 0.500 0.500
0.111 0.745 0.396
0.255 0.604 0.889
0.396 0.111 0.745
0.604 0.889 0.255
0.745 0.396 0.111
0.889 0.255 0.604
```

Computed properties:
Total magnetic moment   1.0 μB per cell

Record 2
Material: TeRuO4
Method: DFT, PBE-GGA
State: relaxed

The structure in POSCAR format:
```
TeRuO4
1.0
-3.375 3.375 3.257
3.375 -3.375 3.257
3.375 3.375 -3.257
Te Ru O
2 2 8
Direct
0.000 0.000 0.000
0.750 0.250 0.500
0.246 0.746 0.500
0.496 0.496 0.000
0.218 0.515 0.703
0.265 0.062 0.797
0.265 0.468 0.203
0.305 0.993 0.311
0.682 0.993 0.689
0.743 0.555 0.811
0.743 0.932 0.189
0.812 0.515 0.297
```

Computed properties:
Energy above the most stable polymorph in this dataset   0.0 meV/atom
Total magnetic moment   0.0 μB per cell

Record 3
Material: TeRuO4
Method: DFT, PBE-GGA
State: relaxed

The structure in POSCAR format:
```
TeRuO4
1.0
5.738 0.000 0.000
0.000 4.818 0.000
-2.008 0.000 5.382
Te Ru O
2 2 8
Direct
0.000 0.000 0.000
0.000 0.500 0.500
0.500 0.000 0.500
0.500 0.500 0.000
0.156 0.171 0.362
0.156 0.329 0.862
0.364 0.707 0.668
0.364 0.793 0.168
0.636 0.207 0.832
0.636 0.293 0.332
0.844 0.671 0.138
0.844 0.829 0.638
```

Computed properties:
Energy above the most stable polymorph in this dataset   12.3 meV/atom
Total magnetic moment   1.2 μB per cell

For the records above, the corresponding E values read -5.93; -6.24; -6.23 eV per atom.
For the records above, the corresponding ΔE_f (raw) values read -660; -868; -855 meV/atom.